Material: In2SiNi
Method: DFT, PBE-GGA
State: optimized geometry

Cell lengths 5.0526, 5.0526, 5.0526 Å; angles 130.26, 130.26, 72.99 degrees
With the nearest neighbours (Å) after each atom.
Sites, in units of the cell vectors:
1 In 0.0000 0.0000 0.0000  4 Si 2.94, 4 Ni 2.94, 4 In 3.00
2 In 0.5000 0.5000 0.0000  4 Ni 2.94, 4 Si 2.94, 4 In 3.00
3 Ni 0.2500 0.7500 0.5000  8 In 2.94, 4 Si 3.00
4 Si 0.7500 0.2500 0.5000  8 In 2.94, 4 Ni 3.00

Properties
DFT total energy = -3.83 eV per atom
Symmetry = I4/mmm, No. 139
Formation energy from raw total energies = 342 meV per atom
Magnetic moment = 0.00 Bohr magnetons per cell

---

Material: Cs2CdCl3F
Method: DFT, PBE-GGA
State: optimized geometry

Cell lengths 4.6645, 5.4029, 9.4110 Å; angles 106.68, 104.35, 90.00 degrees
With the nearest neighbours (Å) after each atom.
Sites, in units of the cell vectors:
1 Cs 0.6437 0.6437 0.2874  7 Cl 3.42-3.58, 2 F 3.68
2 Cs 0.3563 0.3563 0.7126  7 Cl 3.42-3.58, 2 F 3.68
3 Cd 0.0000 0.0000 0.0000  2 F 2.33
4 Cl 0.0000 0.5000 0.0000  2 Cd 2.70
5 Cl 0.1506 0.1506 0.3012  1 Cd 2.62
6 Cl 0.8494 0.8494 0.6988  1 Cd 2.62
7 F 0.5000 0.0000 0.0000  2 Cd 2.33

Properties
DFT total energy = -3.29 eV per atom
Symmetry = Immm, No. 71
Formation energy from raw total energies = -1854 meV per atom
Magnetic moment = 0.00 Bohr magnetons per cell

---

Material: TlPI2O
Method: DFT, PBE-GGA
State: optimized geometry

Cell lengths 6.0177, 6.0177, 3.6328 Å; angles 90.00, 90.00, 90.00 degrees
With the nearest neighbours (Å) after each atom.
Sites, in units of the cell vectors:
1 I 0.0000 0.5000 0.0000  2 P 3.01
2 I 0.5000 0.0000 0.0000  2 P 3.01
3 P 0.0000 0.0000 0.0000  2 O 1.82
4 Tl 0.5000 0.5000 0.5000  8 I 3.51, 2 Tl 3.63
5 O 0.0000 0.0000 0.5000  2 P 1.82

Properties
Relative energy among the computed polymorphs = 0.0 meV/atom
DFT total energy = -3.53 eV per atom
Symmetry = P4/mmm, No. 123
Formation energy from raw total energies = -365 meV per atom
Magnetic moment = 0.00 Bohr magnetons per cell

---

Material: Tm6Sb3Te2Pb
Method: DFT, PBE-GGA
State: optimized geometry

Cell lengths 7.5223, 7.5223, 7.5185 Å; angles 99.60, 99.60, 119.96 degrees
With the nearest neighbours (Å) after each atom.
Sites, in units of the cell vectors:
1 Tm 0.9150 0.5878 0.7446  3 Sb 3.03-3.06, 1 Pb 3.06, 2 Te 3.11-3.12
2 Tm 0.7592 0.7592 0.2576  3 Sb 3.05-3.08, 1 Pb 3.06, 2 Te 3.11
3 Tm 0.0850 0.4122 0.2554  3 Sb 3.03-3.06, 1 Pb 3.06, 2 Te 3.11-3.12
4 Tm 0.5878 0.9150 0.7446  3 Sb 3.03-3.06, 1 Pb 3.06, 2 Te 3.11-3.12
5 Tm 0.2408 0.2408 0.7424  3 Sb 3.05-3.08, 1 Pb 3.06, 2 Te 3.11
6 Tm 0.4122 0.0850 0.2554  3 Sb 3.03-3.06, 1 Pb 3.06, 2 Te 3.11-3.12
7 Sb 0.1700 0.8300 0.5000  6 Tm 3.03-3.06
8 Sb 0.8300 0.1700 0.5000  6 Tm 3.03-3.06
9 Sb 0.5000 0.5000 0.5000  6 Tm 3.03-3.08
10 Te 0.3344 0.6656 0.0000  6 Tm 3.11-3.12
11 Te 0.6656 0.3344 0.0000  6 Tm 3.11-3.12
12 Pb 0.0000 0.0000 0.0000  6 Tm 3.06

Properties
DFT total energy = -5.15 eV per atom
Symmetry = C2/m, No. 12
Formation energy from raw total energies = -1052 meV per atom
Magnetic moment = 0.00 Bohr magnetons per cell

---

Material: La6Zn5Tc
Method: DFT, PBE-GGA
State: optimized geometry

Cell lengths 5.2790, 7.4760, 9.1280 Å; angles 65.83, 73.14, 90.00 degrees
With the nearest neighbours (Å) after each atom.
Sites, in units of the cell vectors:
1 Zn 0.6807 0.1779 0.6438  8 La 3.21-3.32, 1 Zn 3.55
2 Zn 0.3283 0.3307 0.3384  8 La 3.27-3.32, 2 Zn 3.55-3.60
3 Zn 0.0000 0.5000 0.0000  8 La 3.16-3.29
4 Zn 0.6717 0.6693 0.6616  8 La 3.27-3.32, 2 Zn 3.55-3.60
5 Zn 0.3193 0.8221 0.3562  8 La 3.21-3.32, 1 Zn 3.55
6 Tc 0.0000 0.0000 0.0000  8 La 3.08-3.18
7 La 0.8402 0.6014 0.3161  1 Tc 3.08, 7 Zn 3.16-3.28
8 La 0.8402 0.0825 0.3161  1 Tc 3.08, 7 Zn 3.16-3.28
9 La 0.5000 0.7631 0.0000  2 Tc 3.18, 6 Zn 3.29-3.32, 1 La 3.54
10 La 0.5000 0.2369 0.0000  2 Tc 3.18, 6 Zn 3.29-3.32, 1 La 3.54
11 La 0.1598 0.9175 0.6839  1 Tc 3.08, 7 Zn 3.16-3.28
12 La 0.1598 0.3986 0.6839  1 Tc 3.08, 7 Zn 3.16-3.28

Properties
DFT total energy = -4.09 eV per atom
Symmetry = C2/m, No. 12
Formation energy = -0.235 eV/atom
Magnetic moment = 0.00 Bohr magnetons per cell

---

Material: Co2SbSe
Method: DFT, PBE-GGA
State: optimized geometry

Cell lengths 3.7171, 3.7171, 5.8667 Å; angles 71.56, 71.56, 59.91 degrees
With the nearest neighbours (Å) after each atom.
Sites, in units of the cell vectors:
1 Co 0.0301 0.0301 0.9094  3 Se 2.31-2.32
2 Co 0.4699 0.4699 0.5906  3 Se 2.31-2.32
3 Sb 0.2500 0.2500 0.2500  6 Co 2.84
4 Se 0.7500 0.7500 0.7500  6 Co 2.31-2.32

Properties
DFT total energy = -5.33 eV per atom
Symmetry = R-3m, No. 166
Formation energy from raw total energies = 128 meV per atom
Magnetic moment = 0.00 Bohr magnetons per cell